! TlAgB (PBE, optimized geometry); values from VASP
&SYSTEM
  ibrav = 0, nat = 3, ntyp = 3
/
ATOMIC_SPECIES
Tl 204.38 Tl.upf
Ag 107.87 Ag.upf
B 10.81 B.upf
CELL_PARAMETERS angstrom
0.0000 3.1317 3.1317
3.1317 0.0000 3.1317
3.1317 3.1317 0.0000
ATOMIC_POSITIONS angstrom
Tl 4.6976 4.6976 4.6976
Ag 0.0000 0.0000 0.0000
B 1.5659 1.5659 1.5659
! Polymorph energy (0 for the lowest one) in meV per atom: 0.0
! Raw total energy in eV for the cell shown: -8.04